Version one
Rb2Hg2Bi: optimized geometry, PBEsol.

Cell: 8.043 8.043 5.500 Å, 90.00 90.00 90.00°
Positions (direct):
Rb 0.179 0.321 0.000
Rb 0.321 0.821 0.000
Rb 0.679 0.179 0.000
Rb 0.821 0.679 0.000
Hg 0.130 0.630 0.500
Hg 0.370 0.130 0.500
Hg 0.630 0.870 0.500
Hg 0.870 0.370 0.500
Bi 0.000 0.000 0.500
Bi 0.500 0.500 0.500

## Properties
ρ ... 7.3 g/cm³
Total moment ... 0.0 μB/f.u.

=====

Version two
Rb2Hg2Bi: optimized geometry, PBEsol.

Cell: 6.860 6.860 8.740 Å, 90.00 90.00 90.00°
Positions (direct):
Rb 0.000 0.500 0.250
Rb 0.000 0.500 0.750
Rb 0.500 0.000 0.250
Rb 0.500 0.000 0.750
Hg 0.000 0.000 0.162
Hg 0.000 0.000 0.838
Hg 0.500 0.500 0.338
Hg 0.500 0.500 0.662
Bi 0.000 0.000 0.500
Bi 0.500 0.500 0.000

## Properties
ρ ... 6.3 g/cm³
Total moment ... 0.0 μB/f.u.

=====

Relative to the most stable one, in kJ/mol of atoms, the structures come out at version one 0.0; version two 4.9.